1.
First-principles (GGA-PBEsol) data for FeRhAu2 after structural relaxation, as listed in Alexandria via LeMat-Bulk.

Values from the calculation:
- polymorph energy (0 for the lowest one) (meV/atom) = 0
- SG = P4mm (99)

```
data_FeRhAu2
_chemical_formula_sum 'Fe1 Rh1 Au2'
_space_group_name_H-M_alt 'P 1'
_space_group_IT_number 1
_space_group_name_Hall 'P 1'
_cell_length_a 2.7790
_cell_length_b 2.7790
_cell_length_c 7.6599
_cell_angle_alpha 90.00
_cell_angle_beta 90.00
_cell_angle_gamma 90.00
loop_
_atom_site_label
_atom_site_type_symbol
_atom_site_fract_x
_atom_site_fract_y
_atom_site_fract_z
Au1 Au 0.0000 0.0000 0.9884
Au2 Au 0.5000 0.5000 0.2728
Fe1 Fe 0.0000 0.0000 0.5164
Rh1 Rh 0.5000 0.5000 0.7224
```

=====

2.
First-principles (GGA-PBEsol) data for FeRhAu2 after structural relaxation, as listed in Alexandria via LeMat-Bulk.

Values from the calculation:
- polymorph energy (0 for the lowest one) (meV/atom) = 20
- SG = Pmm2 (25)

```
data_FeRhAu2
_chemical_formula_sum 'Fe1 Rh1 Au2'
_space_group_name_H-M_alt 'P 1'
_space_group_IT_number 1
_space_group_name_Hall 'P 1'
_cell_length_a 2.8503
_cell_length_b 3.5949
_cell_length_c 5.8259
_cell_angle_alpha 90.00
_cell_angle_beta 90.00
_cell_angle_gamma 90.00
loop_
_atom_site_label
_atom_site_type_symbol
_atom_site_fract_x
_atom_site_fract_y
_atom_site_fract_z
Au1 Au 0.5000 0.5000 0.2644
Au2 Au 0.0000 0.0000 0.9892
Rh1 Rh 0.5000 0.5000 0.7258
Fe1 Fe 0.0000 0.0000 0.5206
```

=====

3.
First-principles (GGA-PBEsol) data for FeRhAu2 after structural relaxation, as listed in Alexandria via LeMat-Bulk.

Values from the calculation:
- polymorph energy (0 for the lowest one) (meV/atom) = 111
- SG = P4/mmm (123)

```
data_FeRhAu2
_chemical_formula_sum 'Fe1 Rh1 Au2'
_space_group_name_H-M_alt 'P 1'
_space_group_IT_number 1
_space_group_name_Hall 'P 1'
_cell_length_a 2.7621
_cell_length_b 2.7621
_cell_length_c 7.7175
_cell_angle_alpha 90.00
_cell_angle_beta 90.00
_cell_angle_gamma 90.00
loop_
_atom_site_label
_atom_site_type_symbol
_atom_site_fract_x
_atom_site_fract_y
_atom_site_fract_z
Fe1 Fe 0.5000 0.5000 0.0000
Au1 Au 0.0000 0.0000 0.7599
Au2 Au 0.0000 0.0000 0.2401
Rh1 Rh 0.5000 0.5000 0.5000
```

=====

4.
First-principles (GGA-PBEsol) data for Fe2RhAu after structural relaxation, as listed in Alexandria via LeMat-Bulk.

Values from the calculation:
- SG = P4/mmm (123)

```
data_Fe2RhAu
_chemical_formula_sum 'Fe2 Rh1 Au1'
_space_group_name_H-M_alt 'P 1'
_space_group_IT_number 1
_space_group_name_Hall 'P 1'
_cell_length_a 3.7135
_cell_length_b 3.8028
_cell_length_c 3.8028
_cell_angle_alpha 90.00
_cell_angle_beta 90.00
_cell_angle_gamma 90.00
loop_
_atom_site_label
_atom_site_type_symbol
_atom_site_fract_x
_atom_site_fract_y
_atom_site_fract_z
Fe1 Fe 0.0000 0.5000 0.0000
Fe2 Fe 0.0000 0.0000 0.5000
Rh1 Rh 0.5000 0.5000 0.5000
Au1 Au 0.5000 0.0000 0.0000
```

=====

5.
First-principles (GGA-PBEsol) data for Fe2RuAu after structural relaxation, as listed in Alexandria via LeMat-Bulk.

Values from the calculation:
- polymorph energy (0 for the lowest one) (meV/atom) = 56
- SG = I4/mmm (139)

```
data_Fe2RuAu
_chemical_formula_sum 'Fe2 Ru1 Au1'
_space_group_name_H-M_alt 'P 1'
_space_group_IT_number 1
_space_group_name_Hall 'P 1'
_cell_length_a 3.8074
_cell_length_b 3.8074
_cell_length_c 4.5196
_cell_angle_alpha 114.91
_cell_angle_beta 114.91
_cell_angle_gamma 90.00
loop_
_atom_site_label
_atom_site_type_symbol
_atom_site_fract_x
_atom_site_fract_y
_atom_site_fract_z
Ru1 Ru 0.0000 0.0000 0.0000
Fe1 Fe 0.7500 0.2500 0.5000
Fe2 Fe 0.2500 0.7500 0.5000
Au1 Au 0.5000 0.5000 0.0000
```

=====

6.
First-principles (GGA-PBEsol) data for Fe2RuAu after structural relaxation, as listed in Alexandria via LeMat-Bulk.

Values from the calculation:
- polymorph energy (0 for the lowest one) (meV/atom) = 0
- SG = P4/mmm (123)

```
data_Fe2RuAu
_chemical_formula_sum 'Fe2 Ru1 Au1'
_space_group_name_H-M_alt 'P 1'
_space_group_IT_number 1
_space_group_name_Hall 'P 1'
_cell_length_a 2.6498
_cell_length_b 2.6498
_cell_length_c 7.4977
_cell_angle_alpha 90.00
_cell_angle_beta 90.00
_cell_angle_gamma 90.00
loop_
_atom_site_label
_atom_site_type_symbol
_atom_site_fract_x
_atom_site_fract_y
_atom_site_fract_z
Fe1 Fe 0.0000 0.0000 0.2322
Fe2 Fe 0.0000 0.0000 0.7678
Au1 Au 0.5000 0.5000 0.5000
Ru1 Ru 0.5000 0.5000 0.0000
```

=====

ΔH_f (0 K) for every record listed, in sequence, given in meV per atom: 74.9 94.4 185.6 78.4 260.2 204.2.